[1]
This record from Alexandria via LeMat-Bulk describes an optimized crystal structure of Tb5Er8In. The functional is PBE. Values from VASP.

Calculated values
- symmetry = I-4
- E_form (meV/atom) = 185

```
&SYSTEM
  ibrav = 0, nat = 14, ntyp = 3
/
ATOMIC_SPECIES
Er 167.26 Er.upf
Tb 158.93 Tb.upf
In 114.82 In.upf
CELL_PARAMETERS angstrom
-4.843 0.763 -6.747
-0.398 -7.770 3.004
-2.721 5.462 5.686
ATOMIC_POSITIONS angstrom
Er -1.291 -5.161 1.459
Er -5.847 2.452 1.936
Er -4.577 0.427 -2.244
Er -5.348 -2.035 3.652
Er -2.946 0.549 1.007
Er -6.340 3.555 -2.231
Er -3.501 -2.858 -0.187
Er -2.000 -3.112 4.382
Tb -5.068 -5.269 -2.147
Tb -4.113 4.726 3.920
Tb -6.158 -0.841 0.585
Tb -3.782 3.112 -0.530
Tb -0.585 -1.708 1.530
In -3.450 0.402 4.080
```



[2]
This record from Alexandria via LeMat-Bulk describes an optimized crystal structure of Tb6ErIn3. The functional is PBE. Values from VASP.

Calculated values
- symmetry = Cmc2_1
- E_form (meV/atom) = -133

```
&SYSTEM
  ibrav = 0, nat = 20, ntyp = 3
/
ATOMIC_SPECIES
Tb 158.93 Tb.upf
In 114.82 In.upf
Er 167.26 Er.upf
CELL_PARAMETERS angstrom
7.667 0.000 0.000
0.000 9.300 -0.707
0.000 -2.764 8.908
ATOMIC_POSITIONS angstrom
Tb 0.792 5.221 5.728
Tb 0.792 2.118 1.834
Tb 4.625 4.418 6.368
Tb 2.234 -0.511 3.974
Tb 4.902 0.909 5.981
Tb 6.068 7.048 4.227
Tb 6.065 -2.222 8.476
Tb 2.234 2.548 7.813
Tb 1.068 5.627 2.221
Tb 2.231 8.758 -0.275
Tb 4.625 1.315 2.474
Tb 6.068 3.988 0.388
In 3.304 2.586 -0.120
In 7.138 3.950 8.322
In 7.138 -0.694 2.494
In 6.318 3.868 3.623
In 2.484 2.669 4.579
In 3.304 7.231 5.708
Er 4.445 6.868 1.232
Er 0.611 -0.332 6.970
```



[3]
This record from Alexandria via LeMat-Bulk describes an optimized crystal structure of Tb3Er8In. The functional is PBE. Values from VASP.

Calculated values
- symmetry = I-42m
- E_form (meV/atom) = 533

```
&SYSTEM
  ibrav = 0, nat = 12, ntyp = 3
/
ATOMIC_SPECIES
Er 167.26 Er.upf
Tb 158.93 Tb.upf
In 114.82 In.upf
CELL_PARAMETERS angstrom
-6.072 1.766 -5.295
6.271 -4.568 -2.800
-1.772 -5.081 6.250
ATOMIC_POSITIONS angstrom
Er 0.423 -6.490 0.007
Er 4.370 -7.127 1.428
Er -1.857 -1.690 -1.747
Er 4.174 -4.549 -0.572
Er 0.186 -4.803 3.916
Er -3.960 0.082 -3.514
Er 2.337 -7.257 3.716
Er 0.179 -3.230 -0.024
Tb 2.249 -4.825 1.725
Tb 1.224 -3.813 -3.185
Tb -2.797 -4.070 1.340
In 0.000 0.000 0.000
```



[4]
This record from Alexandria via LeMat-Bulk describes an optimized crystal structure of TbErIn. The functional is PBE. Values from VASP.

Calculated values
- symmetry = P3m1
- E_form (meV/atom) = -226

```
&SYSTEM
  ibrav = 0, nat = 3, ntyp = 3
/
ATOMIC_SPECIES
Tb 158.93 Tb.upf
Er 167.26 Er.upf
In 114.82 In.upf
CELL_PARAMETERS angstrom
-1.179 0.476 -3.388
-2.313 -4.675 0.149
-2.617 4.255 1.508
ATOMIC_POSITIONS angstrom
Tb -2.959 1.457 -0.219
Er -1.099 0.443 -3.158
In -3.230 -1.369 -1.741
```



[5]
This record from Alexandria via LeMat-Bulk describes an optimized crystal structure of Tb3Er7In2. The functional is PBE. Values from VASP.

Calculated values
- symmetry = R-3m
- E_form (meV/atom) = 102

```
&SYSTEM
  ibrav = 0, nat = 12, ntyp = 3
/
ATOMIC_SPECIES
Er 167.26 Er.upf
In 114.82 In.upf
Tb 158.93 Tb.upf
CELL_PARAMETERS angstrom
6.516 0.000 0.000
3.258 5.643 0.000
3.258 1.881 10.387
ATOMIC_POSITIONS angstrom
Er 8.151 2.818 2.521
Er 6.516 5.650 2.521
Er 6.516 3.762 5.193
Er 4.881 4.706 7.866
Er 4.881 2.818 2.521
Er 8.151 4.706 7.866
Er 6.516 1.874 7.866
In 6.516 3.762 10.377
In 6.516 3.762 0.010
Tb 9.774 5.643 4.478
Tb 0.000 0.000 0.000
Tb 3.258 1.881 5.909
```



[6]
This record from Alexandria via LeMat-Bulk describes an optimized crystal structure of Tb5Er2In. The functional is PBE. Values from VASP.

Calculated values
- symmetry = I4/mmm
- E_form (meV/atom) = -114

```
&SYSTEM
  ibrav = 0, nat = 8, ntyp = 3
/
ATOMIC_SPECIES
Tb 158.93 Tb.upf
Er 167.26 Er.upf
In 114.82 In.upf
CELL_PARAMETERS angstrom
4.814 0.000 -0.934
-0.181 4.811 -0.934
-0.445 -0.463 10.582
ATOMIC_POSITIONS angstrom
Tb 2.317 2.405 -0.934
Tb 0.369 2.883 1.905
Tb 2.867 0.478 1.905
Tb 3.818 1.465 6.810
Tb 1.321 3.871 6.810
Er 3.241 3.365 3.834
Er 0.947 0.983 4.881
In 0.000 0.000 0.000
```



[7]
This record from Alexandria via LeMat-Bulk describes an optimized crystal structure of Tb4ErIn2. The functional is PBE. Values from VASP.

Calculated values
- symmetry = R-3m
- E_form (meV/atom) = 31

```
&SYSTEM
  ibrav = 0, nat = 7, ntyp = 3
/
ATOMIC_SPECIES
Tb 158.93 Tb.upf
Er 167.26 Er.upf
In 114.82 In.upf
CELL_PARAMETERS angstrom
-5.043 2.039 -0.658
-4.377 -3.183 0.860
-3.255 2.045 8.464
ATOMIC_POSITIONS angstrom
Tb -9.464 -0.204 3.455
Tb -3.210 1.105 5.211
Tb -9.511 0.774 6.840
Tb -3.164 0.127 1.826
Er -6.337 0.450 4.333
In -6.378 1.306 7.294
In -6.297 -0.405 1.371
```



[8]
This record from Alexandria via LeMat-Bulk describes an optimized crystal structure of Tb12Er3In. The functional is PBE. Values from VASP.

Calculated values
- symmetry = P4/mmm
- E_form (meV/atom) = -48

```
&SYSTEM
  ibrav = 0, nat = 16, ntyp = 3
/
ATOMIC_SPECIES
Er 167.26 Er.upf
Tb 158.93 Tb.upf
In 114.82 In.upf
CELL_PARAMETERS angstrom
-1.356 1.498 4.529
-3.803 -3.182 -0.085
11.683 -14.181 8.188
ATOMIC_POSITIONS angstrom
Er 8.779 -10.656 6.152
Er 2.904 -3.525 2.035
Er 5.842 -7.091 4.094
Tb -2.579 -0.842 2.222
Tb 9.585 -11.708 9.457
Tb 3.687 -4.549 5.324
Tb -0.482 -3.315 0.952
Tb 2.463 -6.889 3.016
Tb 3.262 -7.933 6.316
Tb 6.233 -11.539 8.398
Tb 8.362 -14.049 7.150
Tb 5.417 -10.474 5.086
Tb 0.291 -4.326 4.234
Tb 0.742 -0.974 3.260
Tb 6.640 -8.134 7.393
In 0.000 0.000 0.000
```



[9]
This record from Alexandria via LeMat-Bulk describes an optimized crystal structure of Tb5Er12In2. The functional is PBE. Values from VASP.

Calculated values
- symmetry = C2/m
- E_form (meV/atom) = -6

```
&SYSTEM
  ibrav = 0, nat = 19, ntyp = 3
/
ATOMIC_SPECIES
Tb 158.93 Tb.upf
Er 167.26 Er.upf
In 114.82 In.upf
CELL_PARAMETERS angstrom
9.231 0.000 0.000
-4.616 7.557 1.128
0.000 -1.449 8.121
ATOMIC_POSITIONS angstrom
Tb 0.000 -0.724 4.061
Tb 4.616 2.888 0.500
Tb 0.000 3.220 8.749
Tb 4.616 3.410 4.025
Tb 0.000 2.698 5.225
Er 6.416 0.941 5.672
Er -2.912 4.213 6.992
Er 4.616 6.135 1.889
Er 1.800 5.167 3.578
Er 1.704 1.895 2.258
Er 2.912 4.213 6.992
Er 2.815 0.941 5.672
Er 0.000 5.769 6.490
Er 7.527 1.895 2.258
Er -1.800 5.167 3.578
Er 0.000 -0.027 7.361
Er 4.616 0.340 2.760
In 2.948 0.000 0.000
In 6.283 0.000 0.000
```



[10]
This record from Alexandria via LeMat-Bulk describes an optimized crystal structure of Tb3Er2In2. The functional is PBE. Values from VASP.

Calculated values
- symmetry = Cmmm
- E_form (meV/atom) = -159

```
&SYSTEM
  ibrav = 0, nat = 7, ntyp = 3
/
ATOMIC_SPECIES
Tb 158.93 Tb.upf
Er 167.26 Er.upf
In 114.82 In.upf
CELL_PARAMETERS angstrom
-1.327 3.887 2.758
-3.272 -1.096 -0.030
1.332 -4.280 11.110
ATOMIC_POSITIONS angstrom
Tb -0.752 2.094 5.561
Tb 0.000 0.000 0.000
Tb 0.758 -2.487 8.307
Er -1.821 -0.222 8.311
Er -1.446 -1.267 5.527
In -2.014 0.506 2.754
In -1.252 -1.995 11.084
```



Number 1: electronic total energy -59.8 eV/cell. Number 2: electronic total energy -83.8 eV/cell. Number 3: electronic total energy -46.7 eV/cell. Number 4: electronic total energy -12.6 eV/cell. Number 5: electronic total energy -50.1 eV/cell. Number 6: electronic total energy -35.9 eV/cell. Number 7: electronic total energy -28.3 eV/cell. Number 8: electronic total energy -72.8 eV/cell. Number 9: electronic total energy -83.5 eV/cell. Number 10: electronic total energy -29.6 eV/cell.